The following is a PBE-GGA calculation of a relaxed structure of NbV2Ge, from Alexandria.

For the formation energy, the calculation gives 1.629 eV per formula unit.

The space group is I-42d (No. 122) and the conventional cell measures 7.054, 7.054 and 5.214 Å, with angles of 90.00, 90.00 and 90.00 degrees. Symmetry generates all atoms from Nb at (0.000, 0.000, 0.000), V at (0.228, 0.250, 0.625) and Ge at (0.000, 0.000, 0.500).

***

The following is a PBE-GGA calculation of a relaxed structure of NbV3Ge, from Alexandria.

The value obtained for the energy relative to the lowest polymorph listed for this composition is 1.023 eV/atom. For the formation energy, the calculation gives 4.508 eV per formula unit.

The space group is Pm-3m (No. 221) and the conventional cell measures 4.463, 4.463 and 4.463 Å, with angles of 90.00, 90.00 and 90.00 degrees. Symmetry generates all atoms from Nb at (0.000, 0.000, 0.000), V at (0.000, 0.500, 0.500) and Ge at (0.500, 0.500, 0.500).